# 1
The following is a DFT calculation (PBE) of crystalline CdFeRh2 at its relaxed geometry.

Space group: Cm, No. 8
Calculated formation energy in eV per atom: 0.091
DOS at the Fermi energy in states/eV per atom: 1.3500
Uncorrected energy in eV/atom: -5.93

a b c (Å): 4.8561 4.8561 4.7202
angles (deg): 78.19 78.19 34.08
Last column: nearest neighbours and their distance in Å.
Fractional coordinates of all 4 atoms:
1 Cd 0.4996 0.4996 0.5094  7 Rh 2.73-2.82, 2 Cd 2.85, 3 Fe 2.86-2.89
2 Fe 0.2599 0.2599 0.2168  7 Rh 2.63-2.90, 2 Fe 2.85, 3 Cd 2.86-2.89
3 Rh 0.9989 0.9989 0.0156  3 Fe 2.64-2.79, 5 Rh 2.72-2.90, 4 Cd 2.73-2.78
4 Rh 0.7417 0.7417 0.7582  4 Fe 2.63-2.90, 5 Rh 2.72-2.90, 3 Cd 2.75-2.82

---

# 2
The following is a DFT calculation (PBE) of crystalline CdFeRh at its relaxed geometry.

Space group: P3m1, No. 156
Energy relative to the lowest polymorph listed for this composition in meV/atom: 159.3
Calculated formation energy in eV per atom: 0.108
DOS at the Fermi energy in states/eV per atom: 0.6950
Uncorrected energy in eV/atom: -5.47

a b c (Å): 4.3374 4.3374 2.8891
angles (deg): 90.00 90.00 120.00
Last column: nearest neighbours and their distance in Å.
Fractional coordinates of all 3 atoms:
1 Cd 0.0000 0.0000 0.0108  6 Fe 2.79-3.00, 6 Rh 2.83-2.95, 2 Cd 2.89
2 Fe 0.6667 0.3333 0.4378  3 Rh 2.53, 3 Cd 2.79
3 Rh 0.3333 0.6667 0.5514  3 Fe 2.53

---

# 3
The following is a DFT calculation (PBE) of crystalline CdFeRh at its relaxed geometry.

Space group: F-43m, No. 216
Energy relative to the lowest polymorph listed for this composition in meV/atom: 445.4
Calculated formation energy in eV per atom: 0.394
DOS at the Fermi energy in states/eV per atom: 1.1570
Uncorrected energy in eV/atom: -5.18

a b c (Å): 4.2181 4.2181 4.2181
angles (deg): 60.00 60.00 60.00
Last column: nearest neighbours and their distance in Å.
Fractional coordinates of all 3 atoms:
1 Cd 0.5000 0.5000 0.5000  4 Fe 2.58
2 Fe 0.2500 0.2500 0.2500  4 Cd 2.58, 4 Rh 2.58
3 Rh 0.0000 0.0000 0.0000  4 Fe 2.58

---

| no. | theoretical density (Mg/m³) |
| --- | --- |
| 1 | 10.19 |
| 2 | 9.57 |
| 3 | 8.48 |